## SrPPt2Se (PBE-GGA)

Data for SrPPt2Se after structural relaxation.

It has space group P4/mmm (No. 123), with a = 5.210 Å, b = 5.210 Å, c = 5.461 Å, α = 90.00°, β = 90.00° and γ = 90.00°. The inequivalent atoms are Sr at (0.000, 0.000, 0.000), P at (0.000, 0.000, 0.500), Pt at (0.000, 0.500, 0.000) and Se at (0.500, 0.500, 0.500).

The uncorrected energy comes out at -2.904 eV/atom. The density of states at the Fermi level is 1.13 states/eV/atom. Its total magnetic moment is 0.00 μB per cell. The formation energy without anion corrections is 8.1 eV per formula unit.

---

## Tb4PPtSe2 (PBE-GGA)

Data for Tb4PPtSe2 after structural relaxation.

It has space group P2/m (No. 10), with a = 7.128 Å, b = 4.040 Å, c = 7.162 Å, α = 90.00°, β = 108.91° and γ = 90.00°. The inequivalent atoms are Tb at (0.240, 0.000, 0.234), Tb at (0.255, 0.500, 0.768), P at (0.000, 0.500, 0.000), Pt at (0.500, 0.000, 0.000), Se at (0.000, 0.000, 0.500) and Se at (0.500, 0.500, 0.500).

The uncorrected energy comes out at -6.212 eV/atom. The density of states at the Fermi level is 0.69 states/eV/atom. Its total magnetic moment is 0.00 μB per cell. The formation energy without anion corrections is -12.8 eV per formula unit.

---

## Tb6P2PtSe3 (PBE-GGA)

Data for Tb6P2PtSe3 after structural relaxation.

It has space group C2/m (No. 12), with a = 17.905 Å, b = 4.040 Å, c = 8.247 Å, α = 90.00°, β = 103.69° and γ = 90.00°. The inequivalent atoms are Tb at (0.005, 0.000, 0.241), Tb at (0.166, 0.500, 0.097), Tb at (0.171, 0.500, 0.572), P at (0.168, 0.000, 0.336), Pt at (0.000, 0.500, 0.000), Se at (0.000, 0.500, 0.500) and Se at (0.168, 0.000, 0.832).

The uncorrected energy comes out at -6.262 eV/atom. The density of states at the Fermi level is 0.52 states/eV/atom. Its total magnetic moment is 0.00 μB per cell. The formation energy without anion corrections is -20.0 eV per formula unit.

---

## Tb8P3PtSe4 (PBE-GGA)

Data for Tb8P3PtSe4 after structural relaxation.

It has space group R-3m (No. 166, hexagonal axes), with a = 8.1356 Å, b = 8.1356 Å, c = 20.1551 Å, α = 90.00°, β = 90.00° and γ = 120.00°. The inequivalent atoms are Tb at (0.0000, 0.0000, 0.2430), Tb at (0.0026, 0.5013, 0.7557), P at (0.0000, 0.5000, 0.5000), Pt at (0.0000, 0.0000, 0.5000), Se at (0.0000, 0.0000, 0.0000) and Se at (0.0000, 0.5000, 0.0000).

The uncorrected energy comes out at -6.265 eV/atom. The density of states at the Fermi level is 0.51 states/eV/atom. Its total magnetic moment is 0.00 μB per cell. The formation energy without anion corrections is -27.0 eV per formula unit.

---

## Tb8PPt3Se4 (PBE-GGA)

Data for Tb8PPt3Se4 after structural relaxation.

It has space group R-3m (No. 166, hexagonal axes), with a = 8.0832 Å, b = 8.0832 Å, c = 20.9825 Å, α = 90.00°, β = 90.00° and γ = 120.00°. The inequivalent atoms are Tb at (0.0000, 0.0000, 0.2437), Tb at (0.0006, 0.5003, 0.7553), P at (0.0000, 0.0000, 0.5000), Pt at (0.0000, 0.5000, 0.5000), Se at (0.0000, 0.0000, 0.0000) and Se at (0.0000, 0.5000, 0.0000).

The uncorrected energy comes out at -6.180 eV/atom. The density of states at the Fermi level is 0.66 states/eV/atom. Its total magnetic moment is 0.00 μB per cell. The formation energy without anion corrections is -24.4 eV per formula unit.

---

## Th6PPt2Se3 (PBE-GGA)

Data for Th6PPt2Se3 after structural relaxation.

It has space group C2/m (No. 12), with a = 18.604 Å, b = 4.114 Å, c = 8.656 Å, α = 90.00°, β = 103.83° and γ = 90.00°. The inequivalent atoms are Th at (0.001, 0.000, 0.235), Th at (0.162, 0.500, 0.092), Th at (0.169, 0.500, 0.567), P at (0.000, 0.500, 0.000), Pt at (0.166, 0.000, 0.331), Se at (0.000, 0.500, 0.500) and Se at (0.168, 0.000, 0.833).

The uncorrected energy comes out at -7.465 eV/atom. The density of states at the Fermi level is 0.74 states/eV/atom. Its total magnetic moment is 0.00 μB per cell. The formation energy without anion corrections is -17.1 eV per formula unit.

---

## Th4PPtSe2 (PBE-GGA)

Data for Th4PPtSe2 after structural relaxation.

It has space group P2/m (No. 10), with a = 7.360 Å, b = 4.132 Å, c = 7.370 Å, α = 90.00°, β = 108.85° and γ = 90.00°. The inequivalent atoms are Th at (0.231, 0.000, 0.242), Th at (0.234, 0.500, 0.738), P at (0.000, 0.000, 0.500), Pt at (0.000, 0.500, 0.000), Se at (0.500, 0.000, 0.000) and Se at (0.500, 0.500, 0.500).

The uncorrected energy comes out at -7.482 eV/atom. The density of states at the Fermi level is 0.78 states/eV/atom. Its total magnetic moment is 0.00 μB per cell. The formation energy without anion corrections is -11.8 eV per formula unit.

---

## Th8P3PtSe4 (PBE-GGA)

Data for Th8P3PtSe4 after structural relaxation.

It has space group R-3m (No. 166, hexagonal axes), with a = 8.3606 Å, b = 8.3606 Å, c = 20.6870 Å, α = 90.00°, β = 90.00° and γ = 120.00°. The inequivalent atoms are Th at (0.0000, 0.0000, 0.2434), Th at (0.0029, 0.5015, 0.7557), P at (0.0000, 0.5000, 0.5000), Pt at (0.0000, 0.0000, 0.5000), Se at (0.0000, 0.0000, 0.0000) and Se at (0.0000, 0.5000, 0.0000).

The uncorrected energy comes out at -7.509 eV/atom. The density of states at the Fermi level is 0.64 states/eV/atom. Its total magnetic moment is 0.00 μB per cell. The formation energy without anion corrections is -24.6 eV per formula unit.

---

## Th8PPt3Se4 (PBE-GGA)

Data for Th8PPt3Se4 after structural relaxation.

It has space group R-3m (No. 166, hexagonal axes), with a = 8.3914 Å, b = 8.3914 Å, c = 21.2076 Å, α = 90.00°, β = 90.00° and γ = 120.00°. The inequivalent atoms are Th at (0.0000, 0.0000, 0.2407), Th at (0.0027, 0.5013, 0.2447), P at (0.0000, 0.0000, 0.5000), Pt at (0.0000, 0.5000, 0.5000), Se at (0.0000, 0.0000, 0.0000) and Se at (0.0000, 0.5000, 0.0000).

The uncorrected energy comes out at -7.460 eV/atom. The density of states at the Fermi level is 0.80 states/eV/atom. Its total magnetic moment is 0.00 μB per cell. The formation energy without anion corrections is -22.5 eV per formula unit.

---

## Th6P2PtSe3 (PBE-GGA)

Data for Th6P2PtSe3 after structural relaxation.

It has space group C2/m (No. 12), with a = 18.454 Å, b = 4.132 Å, c = 8.535 Å, α = 90.00°, β = 103.97° and γ = 90.00°. The inequivalent atoms are Th at (0.006, 0.000, 0.239), Th at (0.166, 0.500, 0.098), Th at (0.171, 0.500, 0.572), P at (0.168, 0.000, 0.335), Pt at (0.000, 0.500, 0.000), Se at (0.000, 0.500, 0.500) and Se at (0.165, 0.000, 0.832).

The uncorrected energy comes out at -7.493 eV/atom. The density of states at the Fermi level is 0.82 states/eV/atom. Its total magnetic moment is 0.00 μB per cell. The formation energy without anion corrections is -18.1 eV per formula unit.

---

## TlP2PtSe8 (PBE-GGA)

Data for TlP2PtSe8 after structural relaxation.

It has space group R-3 (No. 148, hexagonal axes), with a = 5.9487 Å, b = 5.9487 Å, c = 32.1869 Å, α = 90.00°, β = 90.00° and γ = 120.00°. The inequivalent atoms are Tl at (0.0000, 0.0000, 0.0000), P at (0.0000, 0.0000, 0.2381), Pt at (0.0000, 0.0000, 0.5000), Se at (0.0000, 0.0000, 0.3052) and Se at (0.0233, 0.3806, 0.7843).

The uncorrected energy comes out at -3.993 eV/atom. The density of states at the Fermi level is 0.59 states/eV/atom. Its total magnetic moment is 0.00 μB per cell. The formation energy without anion corrections is -0.8 eV per formula unit.

---

## Tm8P3PtSe4 (PBE-GGA)

Data for Tm8P3PtSe4 after structural relaxation.

It has space group R-3m (No. 166, hexagonal axes), with a = 7.9852 Å, b = 7.9852 Å, c = 19.8064 Å, α = 90.00°, β = 90.00° and γ = 120.00°. The inequivalent atoms are Tm at (0.0000, 0.0000, 0.2425), Tm at (0.0013, 0.5006, 0.7564), P at (0.0000, 0.5000, 0.5000), Pt at (0.0000, 0.0000, 0.5000), Se at (0.0000, 0.0000, 0.0000) and Se at (0.0000, 0.5000, 0.0000).

The uncorrected energy comes out at -6.138 eV/atom. The density of states at the Fermi level is 0.52 states/eV/atom. Its total magnetic moment is 0.00 μB per cell. The formation energy without anion corrections is -26.2 eV per formula unit.